Entry 1:
Zr2BeBr after structural relaxation. Source: the Alexandria database, functional GGA-PBE.

The structure in extended XYZ format:
```
4
Lattice="3.7957 0.0000 0.0000 0.0000 3.8166 0.0000 0.0000 0.0000 5.2642" Properties=species:S:1:pos:R:3 pbc="T T T"
Zr 1.8978 1.9083 1.9725
Zr 0.0000 0.0000 4.6076
Be 0.0000 0.0000 1.9765
Br 1.8978 1.9083 4.6039
```

- total energy (eV/atom) = -5.6995
- energy relative to the lowest polymorph listed for this composition (meV per atom) = 193.3
- E_form (uncorrected) (eV/atom) = -0.08
- size of the total moment (Bohr magnetons per cell) = 0.0
- space-group type = Pmmm, No. 47

=====

Entry 2:
PrDy4Y3S8 after structural relaxation. Source: the Alexandria database, functional GGA-PBE.

The structure in extended XYZ format:
```
16
Lattice="7.8737 0.0000 0.0000 0.0000 7.8771 -0.0034 -3.9368 -3.9332 5.5718" Properties=species:S:1:pos:R:3 pbc="T T T"
S 3.9368 -0.0049 2.7161
S 0.0000 -0.0049 2.7799
S 2.0133 5.9604 0.0028
S 0.0000 3.9488 2.8523
S 1.9236 -2.0165 5.5657
S 5.8604 5.9604 0.0028
S -1.9235 -2.0165 5.5657
S 3.9368 3.9488 2.7886
Y 3.9368 3.9385 -0.0017
Y -1.9684 1.9719 2.7842
Y 1.9684 1.9719 2.7842
Dy 1.9684 -1.9666 2.7859
Dy -1.9684 -1.9666 2.7859
Dy 0.0000 0.0000 0.0000
Dy 3.9368 0.0000 0.0000
Pr 0.0000 3.9385 -0.0017
```

- total energy (eV/atom) = -6.7141
- E_form (uncorrected) (eV/atom) = -1.99
- size of the total moment (Bohr magnetons per cell) = 0.0
- space-group type = R-3m, No. 166

=====

Entry 3:
YZn2Cu2 after structural relaxation. Source: the Alexandria database, functional GGA-PBE.

The structure in extended XYZ format:
```
10
Lattice="-0.8919 3.3126 -2.1139 1.3778 -1.7664 -3.3494 -9.9274 -4.6259 0.7799" Properties=species:S:1:pos:R:3 pbc="T T T"
Cu -8.1042 -2.5477 -4.4139
Cu -4.1533 -2.8096 -2.6506
Cu -1.3372 -0.5320 -0.2695
Cu -5.2881 -0.2701 -2.0328
Zn -5.9011 -1.6713 -3.9699
Zn 0.6889 -0.8832 -1.6747
Zn -3.5403 -1.4085 -0.7135
Zn -0.4459 1.6563 -1.0569
Y -2.2082 -0.2021 -3.2256
Y -7.2333 -2.8777 -1.4577
```

- total energy (eV/atom) = -3.6868
- energy relative to the lowest polymorph listed for this composition (meV per atom) = 9.6
- size of the total moment (Bohr magnetons per cell) = 0.0
- space-group type = I4/mmm, No. 139